1.
Material: CeEr3N
Method: DFT, GGA-PBE
State: optimized geometry

a b c (Å): 4.910 4.910 4.910
angles (deg): 90.00 90.00 90.00
Each line ends with the local moment (μB).
Fractional coordinates of all 5 atoms:
Er (0.000, 0.000, 0.500)  0.20
Er (0.500, 0.000, 0.000)  0.20
Er (0.000, 0.500, 0.000)  0.20
Ce (0.500, 0.500, 0.500)  0.98
N (0.000, 0.000, 0.000)  0.02

Formation energy without anion corrections ... -41.7 kJ/mol of atoms


2.
Material: RbDyPdCl6
Method: DFT, GGA-PBE
State: optimized geometry

a b c (Å): 6.742 6.742 7.458
angles (deg): 90.00 90.00 60.00
Each line ends with the local moment (μB).
Fractional coordinates of all 9 atoms:
Cl (0.374, 0.989, 0.701)  0.10
Cl (0.989, 0.374, 0.299)  0.10
Cl (0.636, 0.375, 0.701)  0.10
Cl (0.636, 0.989, 0.299)  0.10
Cl (0.374, 0.636, 0.299)  0.10
Cl (0.989, 0.636, 0.701)  0.10
Dy (0.333, 0.333, 0.500)  0.00
Rb (0.000, 0.000, 0.000)  0.00
Pd (0.667, 0.667, 0.500)  1.19

Formation energy without anion corrections ... -151.6 kJ/mol of atoms


3.
Material: Ba3MgZr
Method: DFT, GGA-PBE
State: optimized geometry

a b c (Å): 6.310 6.310 6.310
angles (deg): 90.00 90.00 90.00
Each line ends with the local moment (μB).
Fractional coordinates of all 5 atoms:
Zr (0.000, 0.000, 0.000)  0.38
Ba (0.500, 0.000, 0.000)  0.01
Ba (0.000, 0.500, 0.000)  0.04
Ba (0.000, 0.000, 0.500)  0.04
Mg (0.500, 0.500, 0.500)  -0.01

ΔE_f ... 0.674 eV/atom
Relative energy among the computed polymorphs ... 0 meV per atom